No. 1
Fe2BSb | PBE | optimized geometry

Computed properties:
energy relative to the lowest polymorph listed for this composition	0.00	eV/f.u.
raw formation energy	0.55	eV/atom
DOS at the Fermi energy	16.55	states/eV/cell

a = 4.289 Å, b = 4.289 Å, c = 12.810 Å
α = 90.00°, β = 90.00°, γ = 90.00°
Fractional coordinates of all 16 atoms:
1 Fe 0.089 0.250 0.125
2 Fe 0.250 0.589 0.375
3 Fe 0.250 0.911 0.875
4 Fe 0.411 0.250 0.625
5 Fe 0.589 0.750 0.625
6 Fe 0.750 0.089 0.875
7 Fe 0.750 0.411 0.375
8 Fe 0.911 0.750 0.125
9 B 0.000 0.000 0.000
10 B 0.000 0.500 0.250
11 B 0.500 0.000 0.750
12 B 0.500 0.500 0.500
13 Sb 0.000 0.000 0.500
14 Sb 0.000 0.500 0.750
15 Sb 0.500 0.000 0.250
16 Sb 0.500 0.500 0.000

No. 2
Fe2B4Sb | PBE | optimized geometry

Computed properties:
raw formation energy	1.82	eV/atom
DOS at the Fermi energy	13.74	states/eV/cell

a = 4.387 Å, b = 4.387 Å, c = 10.674 Å
α = 90.00°, β = 90.00°, γ = 90.00°
Fractional coordinates of all 14 atoms:
1 Fe 0.000 0.000 0.104
2 Fe 0.000 0.000 0.896
3 Fe 0.500 0.500 0.396
4 Fe 0.500 0.500 0.604
5 B 0.000 0.000 0.281
6 B 0.000 0.000 0.719
7 B 0.000 0.500 0.000
8 B 0.000 0.500 0.500
9 B 0.500 0.000 0.000
10 B 0.500 0.000 0.500
11 B 0.500 0.500 0.219
12 B 0.500 0.500 0.781
13 Sb 0.000 0.000 0.500
14 Sb 0.500 0.500 0.000

No. 3
Fe3BSb | PBE | optimized geometry

Computed properties:
energy relative to the lowest polymorph listed for this composition	10.03	eV/f.u.
raw formation energy	2.07	eV/atom
DOS at the Fermi energy	9.02	states/eV/cell

a = 4.769 Å, b = 4.769 Å, c = 4.769 Å
α = 90.00°, β = 90.00°, γ = 90.00°
Fractional coordinates of all 5 atoms:
1 Fe 0.000 0.000 0.500
2 Fe 0.000 0.500 0.000
3 Fe 0.500 0.000 0.000
4 B 0.500 0.500 0.500
5 Sb 0.000 0.000 0.000

No. 4
Fe3BSb | PBE | optimized geometry

Computed properties:
energy relative to the lowest polymorph listed for this composition	0.00	eV/f.u.
raw formation energy	0.06	eV/atom
DOS at the Fermi energy	2.87	states/eV/cell

a = 3.861 Å, b = 3.861 Å, c = 3.861 Å
α = 90.00°, β = 90.00°, γ = 90.00°
Fractional coordinates of all 5 atoms:
1 Fe 0.000 0.000 0.500
2 Fe 0.000 0.500 0.000
3 Fe 0.500 0.000 0.000
4 B 0.000 0.000 0.000
5 Sb 0.500 0.500 0.500